Density functional theory data (PBE) for a relaxed LiSb2O crystal.

The structure in extended XYZ format:
```
4
Lattice="-1.948 -0.215 -2.309 -1.563 -2.106 1.514 -4.980 6.295 3.615" Properties=species:S:1:pos:R:3 pbc="T T T"
O -2.919 3.690 2.119
Sb -1.782 2.253 1.294
Li -4.912 2.830 1.894
Sb -4.931 6.233 3.580
```

Properties
formation energy (no corrections): -0.79 eV/atom
VASP energy: -4.571 eV per atom
SG: P4mm (99)
total moment: 0.00 μB/f.u.

Density functional theory data (PBE) for a relaxed Li2SbO4 crystal.

The structure in extended XYZ format:
```
14
Lattice="-1.522 -3.156 -3.365 -0.393 -1.270 4.672 -5.970 2.646 0.217" Properties=species:S:1:pos:R:3 pbc="T T T"
O -1.689 0.026 2.391
Li -4.305 -1.496 -1.824
Li -1.321 -2.820 -1.933
O -2.254 -0.916 -1.628
O -4.408 -1.967 1.080
Li -0.594 -1.606 3.240
O -4.674 1.350 2.499
O -0.492 -1.136 0.335
O -3.476 0.187 0.445
Sb -2.450 -1.551 0.708
Sb -5.435 -0.228 0.817
Li -3.579 -0.283 3.349
O -1.423 -3.290 0.972
O -5.238 0.407 -1.520
```

Properties
formation energy (no corrections): -1.17 eV/atom
VASP energy: -5.136 eV per atom
SG: Cmmm (65)
total moment: 0.46 μB/f.u.

Density functional theory data (PBE) for a relaxed Li4SbO5 crystal.

The structure in extended XYZ format:
```
10
Lattice="-0.258 2.989 2.876 -4.419 -0.170 2.784 1.991 -1.391 4.627" Properties=species:S:1:pos:R:3 pbc="T T T"
O -0.336 1.618 4.300
O -0.240 1.566 7.365
Li -0.255 -0.021 3.007
O -0.129 1.497 1.441
Li -0.315 0.097 5.883
O -2.351 -0.184 5.992
Li -2.431 1.454 7.285
O -2.446 -0.133 2.928
Sb 0.000 0.003 0.003
Li -2.371 1.337 4.410
```

Properties
formation energy (no corrections): -1.69 eV/atom
VASP energy: -5.351 eV per atom
SG: I4/m (87)
total moment: 1.05 μB/f.u.

Density functional theory data (PBE) for a relaxed LiSb2O crystal.

The structure in extended XYZ format:
```
8
Lattice="3.158 0.002 0.003 -0.023 5.657 0.005 -0.016 -0.911 9.119" Properties=species:S:1:pos:R:3 pbc="T T T"
O 0.093 3.225 3.614
Li 1.674 2.581 2.694
O 1.676 0.854 4.087
Sb 1.692 5.399 0.842
Sb 1.687 1.666 8.655
Sb 1.679 4.539 7.071
Li 0.085 5.120 3.675
Sb 0.092 1.971 5.141
```

Properties
formation energy (no corrections): -0.84 eV/atom
VASP energy: -4.620 eV per atom
SG: P1 (1)
total moment: 0.00 μB/f.u.

Density functional theory data (PBE) for a relaxed LiSb3O crystal.

The structure in extended XYZ format:
```
5
Lattice="4.806 0.000 0.000 0.000 4.806 0.000 0.000 0.000 4.806" Properties=species:S:1:pos:R:3 pbc="T T T"
Sb 0.000 2.403 0.000
O 0.000 0.000 0.000
Sb 0.000 0.000 2.403
Sb 2.403 0.000 0.000
Li 2.403 2.403 2.403
```

Properties
energy above the lowest structure with this stoichiometry: 0.000 eV/atom
formation energy (no corrections): -0.17 eV/atom
VASP energy: -4.015 eV per atom
SG: Pm-3m (221)
total moment: 0.00 μB/f.u.

Density functional theory data (PBE) for a relaxed Li2Sb2O crystal.

The structure in extended XYZ format:
```
10
Lattice="5.749 0.000 0.000 0.000 5.749 0.000 0.000 0.000 6.555" Properties=species:S:1:pos:R:3 pbc="T T T"
Sb 1.439 1.436 3.277
O 0.000 0.000 0.000
Li 1.438 1.436 0.000
Sb 4.313 1.439 3.277
O 2.874 2.874 0.000
Li 4.312 1.438 0.000
Li 1.436 4.311 0.000
Sb 4.310 4.313 3.277
Li 4.311 4.312 0.000
Sb 1.436 4.310 3.277
```

Properties
formation energy (no corrections): -0.56 eV/atom
VASP energy: -3.968 eV per atom
SG: P4/mmm (123)
total moment: 0.00 μB/f.u.